{
  "formula": "Mg3In2N4",
  "functional": "PBE",
  "state": "optimized geometry",
  "lattice": [[4.4217, 4.7735, -0.0041], [-4.4217, 4.7735, -0.0041], [0.0000, 0.2449, 5.6279]],
  "species": ["Mg", "Mg", "Mg", "Mg", "Mg", "Mg", "In", "In", "In", "In", "N", "N", "N", "N", "N", "N", "N", "N"],
  "fractional_positions": [[0.9841, 0.7785, 0.1006], [0.2215, 0.0159, 0.3994], [0.0159, 0.2215, 0.8994], [0.7785, 0.9841, 0.6006], [0.2927, 0.7073, 0.7500], [0.7073, 0.2927, 0.2500], [0.7935, 0.5524, 0.6460], [0.4476, 0.2065, 0.8540], [0.2065, 0.4476, 0.3540], [0.5524, 0.7935, 0.1460], [0.0510, 0.7502, 0.4873], [0.2498, 0.9490, 0.0127], [0.9490, 0.2498, 0.5127], [0.7502, 0.0510, 0.9873], [0.7736, 0.5480, 0.0318], [0.4520, 0.2264, 0.4682], [0.2264, 0.4520, 0.9682], [0.5480, 0.7736, 0.5318]],
  "spacegroup": "C2/c",
  "crystal_system": "monoclinic",
  "total_magnetization_mub_per_cell": 0.000,
  "e_form_raw_ev_per_atom": -0.190,
  "dft_energy_ev_per_cell": -90.540
}

=====

{
  "formula": "Mg2InN",
  "functional": "PBE",
  "state": "optimized geometry",
  "lattice": [[3.0416, -3.2549, 1.3512], [-1.5246, -4.1571, 1.4373], [0.6958, -3.7733, -2.6363]],
  "species": ["Mg", "Mg", "N", "In"],
  "fractional_positions": [[0.2500, 0.2500, 0.2500], [0.7500, 0.7500, 0.7500], [0.0000, 0.0000, 0.0000], [0.5000, 0.5000, 0.5000]],
  "e_above_lowest_polymorph_mev_per_atom": 1140,
  "spacegroup": "Fm-3m",
  "crystal_system": "cubic",
  "total_magnetization_mub_per_cell": 0.000,
  "e_form_raw_ev_per_atom": 0.683,
  "dft_energy_ev_per_cell": -11.521
}

=====

{
  "formula": "MgInN2",
  "functional": "PBE",
  "state": "optimized geometry",
  "lattice": [[-2.4042, 0.8726, -4.2160], [-4.2000, -1.5372, 2.0770], [-4.2479, 4.2669, 0.4217]],
  "species": ["Mg", "Mg", "N", "N", "N", "N", "In", "In"],
  "fractional_positions": [[0.5000, 0.5000, 0.0000], [0.2500, 0.7500, 0.5000], [0.6150, 0.1250, 0.2500], [0.1350, 0.6250, 0.2500], [0.3750, 0.3850, 0.7500], [0.8750, 0.8650, 0.7500], [0.0000, 0.0000, 0.0000], [0.7500, 0.2500, 0.5000]],
  "spacegroup": "I-42d",
  "crystal_system": "tetragonal",
  "total_magnetization_mub_per_cell": 1.999,
  "e_form_raw_ev_per_atom": 0.130,
  "dft_energy_ev_per_cell": -40.928
}

=====

{
  "formula": "MgInN2",
  "functional": "PBE",
  "state": "optimized geometry",
  "lattice": [[1.0620, -0.4069, 3.8617], [-2.6616, 0.7944, 2.9139], [-1.5294, -3.0027, 2.2025]],
  "species": ["Mg", "N", "N", "In"],
  "fractional_positions": [[0.0000, 0.0000, 0.0000], [0.2500, 0.2500, 0.2500], [0.7500, 0.7500, 0.7500], [0.5000, 0.5000, 0.5000]],
  "spacegroup": "Fm-3m",
  "crystal_system": "cubic",
  "total_magnetization_mub_per_cell": 0.000,
  "e_form_raw_ev_per_atom": 0.668,
  "dft_energy_ev_per_cell": -18.311
}

=====

Copy entry 2 word for word.
{
  "formula": "Mg2InN",
  "functional": "PBE",
  "state": "optimized geometry",
  "lattice": [[3.0416, -3.2549, 1.3512], [-1.5246, -4.1571, 1.4373], [0.6958, -3.7733, -2.6363]],
  "species": ["Mg", "Mg", "N", "In"],
  "fractional_positions": [[0.2500, 0.2500, 0.2500], [0.7500, 0.7500, 0.7500], [0.0000, 0.0000, 0.0000], [0.5000, 0.5000, 0.5000]],
  "e_above_lowest_polymorph_mev_per_atom": 1140,
  "spacegroup": "Fm-3m",
  "crystal_system": "cubic",
  "total_magnetization_mub_per_cell": 0.000,
  "e_form_raw_ev_per_atom": 0.683,
  "dft_energy_ev_per_cell": -11.521
}